AcScZn17 | PBE | relaxed

```
19
Lattice="4.535 2.618 4.424 -4.535 2.618 4.424 0.000 -5.236 4.424" Properties=species:S:1:pos:R:3 pbc="T T T"
Ac 0.000 0.000 0.000
Sc 0.000 0.000 4.392
Zn 0.000 -2.458 2.374
Zn -2.129 1.229 2.374
Zn -2.311 -1.334 6.609
Zn 0.000 -2.591 6.385
Zn -2.244 1.295 6.385
Zn -1.296 -2.329 8.802
Zn -2.664 0.042 8.802
Zn 2.129 1.229 2.374
Zn 0.000 0.000 7.391
Zn 1.296 -2.329 8.802
Zn -1.369 2.286 8.802
Zn 2.311 -1.334 6.609
Zn 0.000 2.668 6.609
Zn 0.000 0.000 10.025
Zn 2.244 1.295 6.385
Zn 2.664 0.042 8.802
Zn 1.369 2.286 8.802
```

Values from the calculation:
Its density of states at the Fermi level is 3.0 states/eV per cell. The value obtained for the energy of formation from the pure elements is -3.47 eV per formula unit. As for the space group: No. 160. The value obtained for the volume is 16.6 Å³ per atom.

---

Ba6TeSe2S3 | PBE | relaxed

```
12
Lattice="10.243 -2.342 0.000 10.243 2.342 0.000 -2.184 0.000 9.155" Properties=species:S:1:pos:R:3 pbc="T T T"
Ba -0.469 0.000 2.143
Ba 5.796 0.000 3.831
Ba 4.850 0.000 8.357
Ba 13.451 0.000 0.798
Ba 12.505 0.000 5.324
Ba 18.770 0.000 7.012
Te 9.151 0.000 4.578
Se 1.600 0.000 7.639
Se 16.701 0.000 1.516
S 2.689 0.000 3.032
S 10.243 0.000 0.000
S 15.612 0.000 6.123
```

Values from the calculation:
Its density of states at the Fermi level is 0.0 states/eV per cell. The calculation puts the uncorrected formation energy at -2.0028 eV per atom. As for the space group: No. 12. The value obtained for the volume is 36.6 Å³ per atom.

---

CeEr3 | PBE | relaxed

```
4
Lattice="3.495 0.000 0.000 0.000 3.495 0.000 0.000 0.000 9.926" Properties=species:S:1:pos:R:3 pbc="T T T"
Ce 0.000 0.000 0.000
Er 0.000 0.000 4.963
Er 1.748 1.748 2.453
Er 1.748 1.748 7.473
```

Values from the calculation:
As for the energy relative to the lowest polymorph listed for this composition: 0.000 eV per atom. Its density of states at the Fermi level is 7.6 states/eV per cell. The value obtained for the energy of formation from the pure elements is 0.25 eV per formula unit. As for the space group: No. 123. The value obtained for the volume is 30.3 Å³ per atom.

---

Rb2AgHgAu | PBE | relaxed

```
5
Lattice="6.527 0.000 0.000 0.000 6.527 0.000 0.000 0.000 5.412" Properties=species:S:1:pos:R:3 pbc="T T T"
Rb 0.000 3.263 0.000
Rb 3.263 0.000 0.000
Ag 0.000 0.000 2.706
Hg 3.263 3.263 2.706
Au 3.263 3.263 0.000
```

Values from the calculation:
As for the energy relative to the lowest polymorph listed for this composition: 0.024 eV per atom. Its density of states at the Fermi level is 0.7 states/eV per cell. The value obtained for the energy of formation from the pure elements is -0.16 eV per formula unit. As for the space group: No. 123. The value obtained for the volume is 46.1 Å³ per atom.

---

NiWIN2 | PBE | relaxed

```
5
Lattice="3.845 0.000 0.000 0.000 3.845 0.000 0.000 0.000 4.948" Properties=species:S:1:pos:R:3 pbc="T T T"
Ni 0.000 0.000 0.000
W 1.923 1.923 2.474
I 0.000 0.000 2.474
N 0.000 1.923 0.000
N 1.923 0.000 0.000
```

Values from the calculation:
As for the energy relative to the lowest polymorph listed for this composition: 1.409 eV per atom. Its density of states at the Fermi level is 5.9 states/eV per cell. The calculation puts the uncorrected formation energy at 2.1298 eV per atom. As for the space group: No. 123. The value obtained for the volume is 14.6 Å³ per atom.

---

NaSrBi6 | PBE | relaxed

```
8
Lattice="7.146 0.000 0.000 0.000 7.146 0.000 0.000 0.000 4.966" Properties=species:S:1:pos:R:3 pbc="T T T"
Na 0.000 0.000 0.000
Sr 3.573 3.573 0.000
Bi 0.000 3.573 0.000
Bi 1.729 1.729 2.483
Bi 1.729 5.417 2.483
Bi 3.573 0.000 0.000
Bi 5.417 1.729 2.483
Bi 5.417 5.417 2.483
```

Values from the calculation:
Its density of states at the Fermi level is 4.7 states/eV per cell. The value obtained for the energy of formation from the pure elements is -2.24 eV per formula unit. As for the space group: No. 123. The value obtained for the volume is 31.7 Å³ per atom.

---

Tb2Pm2Ga | PBE | relaxed

```
5
Lattice="-2.127 2.127 8.888 2.127 -2.127 8.888 2.127 2.127 -8.888" Properties=species:S:1:pos:R:3 pbc="T T T"
Tb 0.000 0.000 1.494
Tb 0.000 0.000 16.281
Pm 2.127 0.000 4.444
Pm 0.000 2.127 4.444
Ga 0.000 0.000 8.888
```

Values from the calculation:
Its density of states at the Fermi level is 7.0 states/eV per cell. The value obtained for the energy of formation from the pure elements is 1.74 eV per formula unit. As for the space group: No. 139. The value obtained for the volume is 32.2 Å³ per atom.

---

TlSn3Hg3 | PBE | relaxed

```
14
Lattice="8.030 0.000 0.000 0.000 8.030 0.000 0.000 0.000 8.030" Properties=species:S:1:pos:R:3 pbc="T T T"
Tl 0.000 0.000 0.000
Tl 4.015 4.015 4.015
Sn 0.000 2.008 4.015
Sn 0.000 6.023 4.015
Sn 2.008 4.015 0.000
Sn 4.015 0.000 2.008
Sn 4.015 0.000 6.023
Sn 6.023 4.015 0.000
Hg 0.000 4.015 2.008
Hg 0.000 4.015 6.023
Hg 2.008 0.000 4.015
Hg 4.015 2.008 0.000
Hg 4.015 6.023 0.000
Hg 6.023 0.000 4.015
```

Values from the calculation:
As for the energy relative to the lowest polymorph listed for this composition: 0.205 eV per atom. Its density of states at the Fermi level is 8.3 states/eV per cell. The value obtained for the energy of formation from the pure elements is 1.81 eV per formula unit. As for the space group: No. 223. The value obtained for the volume is 37.0 Å³ per atom.

---

Mn2TcCl | PBE | relaxed

```
4
Lattice="1.506 0.869 7.934 -1.506 0.869 7.934 0.000 -1.739 7.934" Properties=species:S:1:pos:R:3 pbc="T T T"
Mn 0.000 0.000 5.932
Mn 0.000 0.000 17.870
Tc 0.000 0.000 11.901
Cl 0.000 0.000 0.000
```

Values from the calculation:
As for the energy relative to the lowest polymorph listed for this composition: 0.066 eV per atom. Its density of states at the Fermi level is 2.2 states/eV per cell. The calculation puts the uncorrected formation energy at 0.1500 eV per atom. As for the space group: No. 166. The value obtained for the volume is 15.6 Å³ per atom.

---

LaMnBe3 | PBE | relaxed

```
5
Lattice="4.273 0.000 0.000 0.000 4.273 0.000 0.000 0.000 4.273" Properties=species:S:1:pos:R:3 pbc="T T T"
La 0.000 0.000 0.000
Mn 2.137 2.137 2.137
Be 0.000 2.137 2.137
Be 2.137 0.000 2.137
Be 2.137 2.137 0.000
```

Values from the calculation:
As for the energy relative to the lowest polymorph listed for this composition: 0.000 eV per atom. Its density of states at the Fermi level is 1.8 states/eV per cell. The value obtained for the energy of formation from the pure elements is 1.25 eV per formula unit. As for the space group: No. 221. The value obtained for the volume is 15.6 Å³ per atom.

---

Ba2SrAgO | PBE | relaxed

```
5
Lattice="5.644 0.000 0.000 0.000 5.644 0.000 0.000 0.000 5.047" Properties=species:S:1:pos:R:3 pbc="T T T"
Ba 0.000 2.822 0.000
Ba 2.822 0.000 0.000
Sr 0.000 0.000 2.524
Ag 2.822 2.822 2.524
O 0.000 0.000 0.000
```

Values from the calculation:
Its density of states at the Fermi level is 4.5 states/eV per cell. The calculation puts the uncorrected formation energy at -1.0498 eV per atom. As for the space group: No. 123. The value obtained for the volume is 32.2 Å³ per atom.

---

Gd2PuNi | PBE | relaxed

```
4
Lattice="3.458 0.000 0.000 0.000 3.458 0.000 0.000 0.000 8.466" Properties=species:S:1:pos:R:3 pbc="T T T"
Gd 0.000 0.000 1.642
Gd 0.000 0.000 6.824
Pu 1.729 1.729 4.233
Ni 1.729 1.729 0.000
```

Values from the calculation:
Its density of states at the Fermi level is 7.4 states/eV per cell. The value obtained for the energy of formation from the pure elements is -0.31 eV per formula unit. As for the space group: No. 123. The value obtained for the volume is 25.3 Å³ per atom.

---

Repeat the first record exactly.
AcScZn17 | PBE | relaxed

```
19
Lattice="4.535 2.618 4.424 -4.535 2.618 4.424 0.000 -5.236 4.424" Properties=species:S:1:pos:R:3 pbc="T T T"
Ac 0.000 0.000 0.000
Sc 0.000 0.000 4.392
Zn 0.000 -2.458 2.374
Zn -2.129 1.229 2.374
Zn -2.311 -1.334 6.609
Zn 0.000 -2.591 6.385
Zn -2.244 1.295 6.385
Zn -1.296 -2.329 8.802
Zn -2.664 0.042 8.802
Zn 2.129 1.229 2.374
Zn 0.000 0.000 7.391
Zn 1.296 -2.329 8.802
Zn -1.369 2.286 8.802
Zn 2.311 -1.334 6.609
Zn 0.000 2.668 6.609
Zn 0.000 0.000 10.025
Zn 2.244 1.295 6.385
Zn 2.664 0.042 8.802
Zn 1.369 2.286 8.802
```

Values from the calculation:
Its density of states at the Fermi level is 3.0 states/eV per cell. The value obtained for the energy of formation from the pure elements is -3.47 eV per formula unit. As for the space group: No. 160. The value obtained for the volume is 16.6 Å³ per atom.